# 1
First-principles (PBE) data for crystalline V2InW at its relaxed geometry, as listed in Alexandria.

The total magnetic moment comes out at 0.003 Bohr magnetons per cell. For the formation energy from the elements, the calculation gives 6.27 kJ/mol of atoms. As for the total energy: -8.42 eV/atom.

The space group is P4/mmm (No. 123) and the conventional cell measures 3.218, 3.218 and 6.215 Å, with angles of 90.00, 90.00 and 90.00 degrees. The inequivalent atoms are V at (0.000, 0.000, 0.217), In at (0.500, 0.500, 0.500) and W at (0.500, 0.500, 0.000).

=====

# 2
First-principles (PBE) data for crystalline DyZnTeO6 at its relaxed geometry, as listed in Alexandria.

The total magnetic moment comes out at 2.191 Bohr magnetons per cell. The formation energy without anion corrections is -1.7104 eV/atom. As for the total energy: -6.02 eV/atom.

The space group is P-31c (No. 163) and the conventional cell measures 5.2336, 5.2336 and 9.8200 Å, with angles of 90.00, 90.00 and 120.00 degrees. The inequivalent atoms are Dy at (0.0000, 0.0000, 0.0000), Zn at (0.3333, 0.6667, 0.2500), Te at (0.3333, 0.6667, 0.7500) and O at (0.0204, 0.3678, 0.6377).

=====

> Which value of total magnetic moment does entry 2 give?

2.191 Bohr magnetons per cell

=====

> The highest total magnetic moment belongs to which entry?

DyZnTeO6

=====

> Which of these has the lowest total magnetic moment?

V2InW

=====

> What is the total magnetic moment in the second record?

2.191 Bohr magnetons per cell